Record 1
EuPu2Os | PBE | optimized geometry

Cell and atoms, written as extended XYZ:
```
4
Lattice="-1.4114 1.2453 -2.7570 -2.9995 -0.1797 1.4543 1.1070 8.6860 3.3565" Properties=species:S:1:pos:R:3 pbc="T T T"
Eu -1.6519 4.8757 1.0269
Os -2.2054 0.5328 -0.6514
Pu 0.9030 7.0855 2.7381
Pu 0.2040 1.6004 0.6185
```

Results
- energy above the lowest structure with this stoichiometry (meV/atom) = 0.0
- Fermi-level density of states (states/eV per atom) = 2.84
- space-group type = P4/mmm, No. 123
- formation enthalpy at 0 K (eV/f.u.) = 0.36


Record 2
Ac2Mg4In3Hg | PBE | optimized geometry

Cell and atoms, written as extended XYZ:
```
10
Lattice="4.8198 0.0000 0.0000 0.0000 4.8198 0.0000 0.0000 0.0000 11.9294" Properties=species:S:1:pos:R:3 pbc="T T T"
Ac 2.4099 0.0000 3.0284
Ac 0.0000 2.4099 8.9011
Mg 2.4099 2.4099 0.0000
Mg 0.0000 0.0000 0.0000
Mg 2.4099 0.0000 7.4867
Mg 0.0000 2.4099 4.4427
In 0.0000 0.0000 5.9647
In 2.4099 0.0000 10.2616
In 0.0000 2.4099 1.6678
Hg 2.4099 2.4099 5.9647
```

Results
- Fermi-level density of states (states/eV per atom) = 0.44
- space-group type = P-4m2, No. 115
- formation enthalpy at 0 K (eV/f.u.) = -3.24


Record 3
Pr2EuMg | PBE | optimized geometry

Cell and atoms, written as extended XYZ:
```
4
Lattice="4.2003 0.0000 0.0000 0.0000 5.6537 0.0000 0.0000 0.0000 5.6537" Properties=species:S:1:pos:R:3 pbc="T T T"
Eu 2.1002 2.8268 2.8268
Pr 0.0000 0.0000 2.8268
Pr 0.0000 2.8268 0.0000
Mg 2.1002 0.0000 0.0000
```

Results
- energy above the lowest structure with this stoichiometry (meV/atom) = 44.9
- Fermi-level density of states (states/eV per atom) = 1.04
- space-group type = P4/mmm, No. 123
- formation enthalpy at 0 K (eV/f.u.) = 0.11


Record 4
ScAg5 | PBE | optimized geometry

Cell and atoms, written as extended XYZ:
```
6
Lattice="5.1334 0.0033 -0.0064 3.5038 3.7517 -0.0064 -6.9390 -3.0167 5.7669" Properties=species:S:1:pos:R:3 pbc="T T T"
Ag 1.8434 0.8014 5.4335
Ag -4.2059 -1.8285 4.4701
Ag -1.6012 -0.6961 3.5203
Ag 1.0035 0.4363 2.5707
Ag 3.5910 1.5612 1.5943
Sc 6.1863 2.6895 0.6304
```

Results
- Fermi-level density of states (states/eV per atom) = 0.43
- space-group type = C2/m, No. 12
- formation enthalpy at 0 K (eV/f.u.) = -0.58


Record 5
CeSnI6 | PBE | optimized geometry

Cell and atoms, written as extended XYZ:
```
8
Lattice="7.7441 0.0114 0.0110 3.8645 6.7047 0.0166 3.8621 2.2314 7.0269" Properties=species:S:1:pos:R:3 pbc="T T T"
Ce 0.0000 0.0000 0.0000
Sn 7.7353 4.4738 3.5272
I 5.0901 4.4153 5.2987
I 9.1034 2.2128 5.3053
I 6.4639 2.1608 1.7457
I 6.3673 6.7348 1.7492
I 10.3805 4.5322 1.7558
I 9.0067 6.7868 5.3088
```

Results
- formation energy from raw total energies (eV per atom) = -0.869
- energy above the lowest structure with this stoichiometry (meV/atom) = 13.9
- space-group type = P-1, No. 2


Record 6
La2TmPa2Ru5 | PBE | optimized geometry

Cell and atoms, written as extended XYZ:
```
20
Lattice="3.4301 0.0000 0.0000 0.0000 11.2087 0.0000 0.0000 0.0000 11.2087" Properties=species:S:1:pos:R:3 pbc="T T T"
La 0.0000 7.4646 1.8603
La 0.0000 3.7440 9.3484
La 0.0000 1.8603 3.7440
La 0.0000 9.3484 7.4646
Tm 0.0000 0.0000 0.0000
Tm 0.0000 5.6043 5.6043
Pa 0.0000 1.6543 7.2586
Pa 0.0000 9.5544 3.9500
Pa 0.0000 7.2586 9.5544
Pa 0.0000 3.9500 1.6543
Ru 1.7150 2.3786 0.5218
Ru 1.7150 8.8300 10.6869
Ru 1.7150 0.5218 8.8300
Ru 1.7150 7.9830 5.0825
Ru 1.7150 10.6869 2.3786
Ru 1.7150 3.2257 6.1261
Ru 1.7150 6.1261 7.9830
Ru 1.7150 5.0825 3.2257
Ru 1.7150 5.6043 0.0000
Ru 1.7150 0.0000 5.6043
```

Results
- Fermi-level density of states (states/eV per atom) = 0.95
- space-group type = P4/mbm, No. 127
- formation enthalpy at 0 K (eV/f.u.) = -2.85


Record 7
CsHoCl3 | PBE | optimized geometry

Cell and atoms, written as extended XYZ:
```
5
Lattice="5.3559 0.0000 0.0000 0.0000 5.3559 0.0000 0.0000 0.0000 5.3559" Properties=species:S:1:pos:R:3 pbc="T T T"
Cs 2.6779 2.6779 2.6779
Ho 0.0000 0.0000 0.0000
Cl 0.0000 2.6779 0.0000
Cl 0.0000 0.0000 2.6779
Cl 2.6779 0.0000 0.0000
```

Results
- formation energy from raw total energies (eV per atom) = -1.899
- Fermi-level density of states (states/eV per atom) = 0.58
- space-group type = Pm-3m, No. 221


Record 8
FeHOsRh2 | PBE | optimized geometry

Cell and atoms, written as extended XYZ:
```
5
Lattice="3.8214 0.0000 0.0000 0.0000 3.8214 0.0000 0.0000 0.0000 3.8866" Properties=species:S:1:pos:R:3 pbc="T T T"
Rh 0.0000 1.9107 0.0000
Rh 1.9107 0.0000 0.0000
Os 1.9107 1.9107 1.9433
Fe 0.0000 0.0000 1.9433
H 0.0000 0.0000 0.0000
```

Results
- electronic total energy (eV for the cell shown) = -37.07
- Fermi-level density of states (states/eV per atom) = 0.92
- space-group type = P4/mmm, No. 123